# LiCu2Os

A geometry-optimized LiCu2Os structure (GGA-PBEsol, Alexandria via LeMat-Bulk).

Computed properties:
ΔE_f	0.464	eV/atom
E above lowest polymorph	0.76	eV/f.u.
volume	96	Å³ per cell

a b c (Å): 3.572 3.572 7.548
angles (deg): 90.00 90.00 90.00
Space group I-4m2 (No. 119)
One atom of each set of equivalent atoms:
Li 0.000 0.000 0.000 [2 per cell]
Cu 0.000 0.000 0.500 [2 per cell]
Cu 0.000 0.500 0.750 [2 per cell]
Os 0.000 0.500 0.250 [2 per cell]

# LiCu2Os

A geometry-optimized LiCu2Os structure (GGA-PBEsol, Alexandria via LeMat-Bulk).

Computed properties:
ΔE_f	0.275	eV/atom
E above lowest polymorph	0.00	eV/f.u.
volume	51	Å³ per cell

a b c (Å): 2.545 2.545 7.946
angles (deg): 90.00 90.00 90.00
Space group P4/mmm (No. 123)
One atom of each set of equivalent atoms:
Li 0.000 0.000 0.000 [1 per cell]
Cu 0.500 0.500 0.255 [2 per cell]
Os 0.000 0.000 0.500 [1 per cell]

# Li2CuOs

A geometry-optimized Li2CuOs structure (GGA-PBEsol, Alexandria via LeMat-Bulk).

Computed properties:
ΔE_f	0.534	eV/atom
E above lowest polymorph	0.00	eV/f.u.
volume	97	Å³ per cell

a b c (Å): 3.652 3.652 7.240
angles (deg): 90.00 90.00 90.00
Space group I-4m2 (No. 119)
One atom of each set of equivalent atoms:
Li 0.000 0.000 0.000 [2 per cell]
Li 0.000 0.500 0.250 [2 per cell]
Cu 0.000 0.500 0.750 [2 per cell]
Os 0.000 0.000 0.500 [2 per cell]

# Li2CuOs

A geometry-optimized Li2CuOs structure (GGA-PBEsol, Alexandria via LeMat-Bulk).

Computed properties:
ΔE_f	0.539	eV/atom
E above lowest polymorph	0.02	eV/f.u.
volume	200	Å³ per cell

a b c (Å): 5.847 5.847 5.847
angles (deg): 90.00 90.00 90.00
Space group F-43m (No. 216)
One atom of each set of equivalent atoms:
Li 0.000 0.000 0.000 [4 per cell]
Li 0.250 0.250 0.250 [4 per cell]
Cu 0.000 0.000 0.500 [4 per cell]
Os 0.250 0.250 0.750 [4 per cell]

Repeat the first record exactly.
# LiCu2Os

A geometry-optimized LiCu2Os structure (GGA-PBEsol, Alexandria via LeMat-Bulk).

Computed properties:
ΔE_f	0.464	eV/atom
E above lowest polymorph	0.76	eV/f.u.
volume	96	Å³ per cell

a b c (Å): 3.572 3.572 7.548
angles (deg): 90.00 90.00 90.00
Space group I-4m2 (No. 119)
One atom of each set of equivalent atoms:
Li 0.000 0.000 0.000 [2 per cell]
Cu 0.000 0.000 0.500 [2 per cell]
Cu 0.000 0.500 0.750 [2 per cell]
Os 0.000 0.500 0.250 [2 per cell]

> The highest volume belongs to which entry?

number 4

> Look up the ΔE_f of the third one.

0.534 eV/atom